[1]
Density functional theory data (PBE) for a relaxed structure of Be2SiPt.

Calculated values
- volume (A^3/atom) = 11.44
- DFT total energy (eV/cell) = -20.1
- formation energy without anion corrections (eV per atom) = -0.29
- space group = Pmm2 (25)

CIF file:
```
data_Be2SiPt
_chemical_formula_sum 'Be2 Si1 Pt1'
_cell_length_a 3.941
_cell_length_b 2.749
_cell_length_c 4.226
_cell_angle_alpha 89.97
_cell_angle_beta 90.00
_cell_angle_gamma 90.00
_space_group_name_H-M_alt 'P 1'
_space_group_IT_number 1
loop_
_space_group_symop_operation_xyz
'x,y,z'
loop_
_atom_site_label
_atom_site_fract_x
_atom_site_fract_y
_atom_site_fract_z
Be1 0.000 0.125 0.959
Be2 0.500 0.125 0.269
Si1 0.500 0.625 0.819
Pt1 0.000 0.625 0.453
```

[2]
Density functional theory data (PBE) for a relaxed structure of Be2SiPt.

Calculated values
- volume (A^3/atom) = 11.51
- DFT total energy (eV/cell) = -19.4
- formation energy without anion corrections (eV per atom) = -0.11
- space group = F-43m (216)

CIF file:
```
data_Be2SiPt
_chemical_formula_sum 'Be2 Si1 Pt1'
_cell_length_a 4.023
_cell_length_b 4.023
_cell_length_c 4.023
_cell_angle_alpha 60.00
_cell_angle_beta 60.00
_cell_angle_gamma 60.00
_space_group_name_H-M_alt 'P 1'
_space_group_IT_number 1
loop_
_space_group_symop_operation_xyz
'x,y,z'
loop_
_atom_site_label
_atom_site_fract_x
_atom_site_fract_y
_atom_site_fract_z
Si1 0.750 0.750 0.750
Be1 0.000 0.000 0.000
Be2 0.250 0.250 0.250
Pt1 0.500 0.500 0.500
```

[3]
Density functional theory data (PBE) for a relaxed structure of BeSi2Pt.

Calculated values
- volume (A^3/atom) = 13.41
- DFT total energy (eV/cell) = -20.9
- formation energy without anion corrections (eV per atom) = -0.07
- space group = P4mm (99)

CIF file:
```
data_BeSi2Pt
_chemical_formula_sum 'Be1 Si2 Pt1'
_cell_length_a 3.304
_cell_length_b 3.310
_cell_length_c 4.906
_cell_angle_alpha 90.00
_cell_angle_beta 90.00
_cell_angle_gamma 90.00
_space_group_name_H-M_alt 'P 1'
_space_group_IT_number 1
loop_
_space_group_symop_operation_xyz
'x,y,z'
loop_
_atom_site_label
_atom_site_fract_x
_atom_site_fract_y
_atom_site_fract_z
Be1 0.000 0.000 0.526
Si1 0.000 0.000 0.031
Si2 0.500 0.500 0.232
Pt1 0.500 0.500 0.710
```

[4]
Density functional theory data (PBE) for a relaxed structure of Be2SiPt8.

Calculated values
- volume (A^3/atom) = 14.37
- DFT total energy (eV/cell) = -66.2
- formation energy without anion corrections (eV per atom) = -0.46
- space group = C2/m (12)

CIF file:
```
data_Be2SiPt8
_chemical_formula_sum 'Be2 Si1 Pt8'
_cell_length_a 3.864
_cell_length_b 5.445
_cell_length_c 7.935
_cell_angle_alpha 102.14
_cell_angle_beta 104.09
_cell_angle_gamma 90.00
_space_group_name_H-M_alt 'P 1'
_space_group_IT_number 1
loop_
_space_group_symop_operation_xyz
'x,y,z'
loop_
_atom_site_label
_atom_site_fract_x
_atom_site_fract_y
_atom_site_fract_z
Pt1 0.218 0.320 0.436
Pt2 0.782 0.680 0.564
Pt3 0.400 0.568 0.801
Pt4 0.600 0.432 0.199
Pt5 0.967 0.245 0.935
Pt6 0.033 0.755 0.065
Pt7 0.345 0.028 0.689
Pt8 0.655 0.972 0.311
Be1 0.188 0.731 0.375
Be2 0.812 0.269 0.625
Si1 0.500 0.000 0.000
```

[5]
Density functional theory data (PBE) for a relaxed structure of BeSi2Pt.

Calculated values
- volume (A^3/atom) = 13.52
- DFT total energy (eV/cell) = -20.7
- formation energy without anion corrections (eV per atom) = -0.03
- space group = Cmmm (65)

CIF file:
```
data_BeSi2Pt
_chemical_formula_sum 'Be1 Si2 Pt1'
_cell_length_a 4.196
_cell_length_b 4.196
_cell_length_c 3.299
_cell_angle_alpha 90.00
_cell_angle_beta 90.00
_cell_angle_gamma 111.40
_space_group_name_H-M_alt 'P 1'
_space_group_IT_number 1
loop_
_space_group_symop_operation_xyz
'x,y,z'
loop_
_atom_site_label
_atom_site_fract_x
_atom_site_fract_y
_atom_site_fract_z
Si1 0.000 0.000 0.000
Si2 0.500 0.500 0.000
Be1 0.500 0.000 0.500
Pt1 0.000 0.500 0.500
```

[6]
Density functional theory data (PBE) for a relaxed structure of BeSi2Pt.

Calculated values
- volume (A^3/atom) = 14.02
- DFT total energy (eV/cell) = -21.1
- formation energy without anion corrections (eV per atom) = -0.11
- space group = Cm (8)

CIF file:
```
data_BeSi2Pt
_chemical_formula_sum 'Be1 Si2 Pt1'
_cell_length_a 4.185
_cell_length_b 4.185
_cell_length_c 4.428
_cell_angle_alpha 85.53
_cell_angle_beta 85.53
_cell_angle_gamma 46.51
_space_group_name_H-M_alt 'P 1'
_space_group_IT_number 1
loop_
_space_group_symop_operation_xyz
'x,y,z'
loop_
_atom_site_label
_atom_site_fract_x
_atom_site_fract_y
_atom_site_fract_z
Si1 0.977 0.977 0.039
Si2 0.754 0.754 0.711
Be1 0.518 0.518 0.465
Pt1 0.251 0.251 0.284
```